# HfCo2HRu, optimized geometry, DFT PBE
# electronic total energy: -7.565 eV per atom
data_HfCo2HRu
_chemical_formula_sum 'Hf1 Co2 H1 Ru1'
_cell_length_a 3.733
_cell_length_b 3.733
_cell_length_c 4.049
_cell_angle_alpha 90.00
_cell_angle_beta 90.00
_cell_angle_gamma 90.00
_symmetry_space_group_name_H-M 'P 1'
_symmetry_Int_Tables_number 1
loop_
_symmetry_equiv_pos_as_xyz
'x,y,z'
loop_
_atom_site_label
_atom_site_fract_x
_atom_site_fract_y
_atom_site_fract_z
Hf1 0.000 0.000 0.500
Co1 0.500 0.000 0.000
Co2 0.000 0.500 0.000
H1 0.000 0.000 0.000
Ru1 0.500 0.500 0.500